NaHg2Pd2 (PBE-GGA, relaxed); space group = I4/mmm; energy relative to the lowest polymorph listed for this composition = 105.1 meV per atom; energy relative to the elements = -138 meV per atom
1.0
-2.622 0.346 3.080
2.103 -2.765 2.101
3.447 3.597 5.205
Na Hg Pd
1 2 2
direct
0.000 0.000 0.000
0.393 0.393 0.214
0.607 0.607 0.786
0.750 0.250 0.500
0.250 0.750 0.500